Record 1
A plane-wave DFT calculation with PBE was carried out for crystalline BaTa2Pt at its relaxed geometry.

Lattice parameters (Å, degrees): 6.0437 6.0437 5.6143 75.78 75.78 29.05
Sites, in units of the cell vectors:
1 Ba 0.7500 0.7500 0.7500
2 Ta 0.5454 0.5454 0.4063
3 Ta 0.9546 0.9546 0.0937
4 Pt 0.2500 0.2500 0.2500

Computed properties:
volume = 24.083 Å³/atom
energy relative to the lowest polymorph listed for this composition = 206 meV/atom
E_form = 0.34 eV per atom
space-group type = C2/m, No. 12
DOS(E_F) = 2.84 states/eV per cell

---

Record 2
A plane-wave DFT calculation with PBE was carried out for crystalline BaTiSN2 at its relaxed geometry.

Lattice parameters (Å, degrees): 4.4446 4.4446 6.0318 90.00 90.00 90.00
Sites, in units of the cell vectors:
1 S 0.0000 0.0000 0.5000
2 Ti 0.5000 0.5000 0.5000
3 N 0.0000 0.5000 0.0000
4 N 0.5000 0.0000 0.0000
5 Ba 0.0000 0.0000 0.0000

Computed properties:
volume = 23.831 Å³/atom
E_form (uncorrected) = 151.01 kJ/mol of atoms
energy relative to the lowest polymorph listed for this composition = 2183 meV/atom
space-group type = P4/mmm, No. 123
DOS(E_F) = 6.09 states/eV per cell

---

M_tot across the listed records, respectively: 0.00, 0.01 μB/f.u..